Record 1
Rb2MoOsF6, relaxed, DFT GGA+U; SG = I4/mmm, No. 139; E = -4.94 eV/atom
1.0
-1.2889 5.1726 2.9605
-5.3015 0.3888 -2.9875
-5.3957 0.3082 3.3921
Mo Os Rb F
1 1 2 6
Direct
0.5000 0.5000 0.0000 Mo
0.0000 0.0000 0.0000 Os
0.7500 0.2500 0.5000 Rb
0.2500 0.7500 0.5000 Rb
0.2276 0.2276 0.5449 F
0.7724 0.7724 0.4551 F
0.2492 0.2492 0.0000 F
0.7508 0.7508 0.0000 F
0.7508 0.2492 0.0000 F
0.2492 0.7508 0.0000 F

=====

Record 2
ReMoOsF2, relaxed, DFT GGA+U; SG = P4/mmm, No. 123; E = -6.17 eV/atom
1.0
-3.3645 -1.7746 -0.1713
2.5409 -4.6592 -1.6378
0.3796 -1.0705 3.6343
Re Mo Os F
1 1 1 2
Direct
0.0000 0.0000 0.0000 Re
0.0000 0.5000 0.0000 Mo
0.5000 0.5000 0.5000 Os
0.0000 0.0000 0.5000 F
0.5000 0.0000 0.0000 F

=====

Record 3
MoOsRhF2, relaxed, DFT GGA+U; SG = P4/mmm, No. 123; E = -5.69 eV/atom
1.0
-0.0035 -3.5384 1.6680
1.0736 -2.1342 -4.5251
3.8248 0.3468 0.7439
Rh Mo Os F
1 1 1 2
Direct
0.5000 0.5000 0.5000 Rh
0.0000 0.0000 0.0000 Mo
0.0000 0.5000 0.0000 Os
0.0000 0.0000 0.5000 F
0.5000 0.0000 0.0000 F

=====

Record 4
TlMoOsF2, relaxed, DFT GGA+U; SG = P4/mmm, No. 123; E = -4.76 eV/atom
1.0
-4.0240 -1.2000 0.3944
1.5453 -5.0470 0.4102
0.2830 0.4269 4.1864
Tl Os Mo F
1 1 1 2
Direct
0.5000 0.5000 0.5000 Tl
0.0000 0.0000 0.0000 Os
0.0000 0.5000 0.0000 Mo
0.0000 0.0000 0.5000 F
0.5000 0.0000 0.0000 F

=====

Record 5
ZrMoOsF2, relaxed, DFT GGA+U; SG = P4/mmm, No. 123; E = -5.70 eV/atom
1.0
-3.1326 2.6174 0.3857
-3.1836 -3.5227 -1.9513
-0.7303 -1.4299 3.7730
Mo Os Zr F
1 1 1 2
Direct
0.0000 0.5000 0.0000 Mo
0.0000 0.0000 0.0000 Os
0.5000 0.5000 0.5000 Zr
0.0000 0.0000 0.5000 F
0.5000 0.0000 0.0000 F

=====

Record 6
MoP2F, relaxed, DFT GGA+U; SG = Fm-3m, No. 225; polymorph energy (0 for the lowest one) = 0 meV per atom
1.0
0.0000 3.0298 3.0298
3.0298 0.0000 3.0298
3.0298 3.0298 0.0000
P Mo F
2 1 1
Direct
0.2500 0.2500 0.2500 P
0.7500 0.7500 0.7500 P
0.5000 0.5000 0.5000 Mo
0.0000 0.0000 0.0000 F

=====

Record 7
MoP3F, relaxed, DFT GGA+U; SG = Pm-3m, No. 221; polymorph energy (0 for the lowest one) = 234 meV per atom
1.0
4.3430 0.0000 0.0000
0.0000 4.3430 0.0000
0.0000 0.0000 4.3430
P Mo F
3 1 1
Direct
0.0000 0.5000 0.0000 P
0.0000 0.0000 0.5000 P
0.5000 0.0000 0.0000 P
0.5000 0.5000 0.5000 Mo
0.0000 0.0000 0.0000 F

=====

Record 8
MoP2F, relaxed, DFT GGA+U; SG = I-42d, No. 122; polymorph energy (0 for the lowest one) = 73 meV per atom
1.0
5.3844 0.0000 0.0000
0.0000 5.3844 0.0000
2.6922 2.6922 5.5033
P Mo F
4 2 2
Direct
0.6401 0.1250 0.2500 P
0.1099 0.6250 0.2500 P
0.3750 0.3599 0.7500 P
0.8750 0.8901 0.7500 P
0.0000 0.0000 0.0000 Mo
0.7500 0.2500 0.5000 Mo
0.5000 0.5000 0.0000 F
0.2500 0.7500 0.5000 F

=====

Record 9
MoP3F, relaxed, DFT GGA+U; SG = Pm-3m, No. 221; polymorph energy (0 for the lowest one) = 0 meV per atom
1.0
-3.4778 -1.4459 2.7216
1.1547 -4.4161 -0.8705
2.8573 0.0248 3.6644
P Mo F
3 1 1
Direct
0.0000 0.5000 0.0000 P
0.0000 0.0000 0.5000 P
0.5000 0.0000 0.0000 P
0.0000 0.0000 0.0000 Mo
0.5000 0.5000 0.5000 F

=====

Record 10
RbMoP2F, relaxed, DFT GGA+U; SG = P4/mmm, No. 123; E = -3.74 eV/atom
1.0
-2.6088 4.5409 -0.9829
-3.6144 -2.1309 -0.2512
-0.7696 0.6893 5.2272
P Mo Rb F
2 1 1 1
Direct
0.0000 0.0000 0.5000 P
0.5000 0.0000 0.0000 P
0.0000 0.5000 0.0000 Mo
0.5000 0.5000 0.5000 Rb
0.0000 0.0000 0.0000 F

=====

Record 11
Rb2MoPF6, relaxed, DFT GGA+U; SG = I4/mmm, No. 139; E = -4.72 eV/atom
1.0
-2.6554 5.1922 0.9052
-5.2702 -2.6040 -0.5236
-4.0218 0.2886 5.7852
P Mo Rb F
1 1 2 6
Direct
0.5000 0.5000 0.0000 P
0.0000 0.0000 0.0000 Mo
0.7500 0.2500 0.5000 Rb
0.2500 0.7500 0.5000 Rb
0.1832 0.1832 0.6336 F
0.8168 0.8168 0.3664 F
0.2518 0.2518 0.0000 F
0.7482 0.7482 0.0000 F
0.7482 0.2518 0.0000 F
0.2518 0.7482 0.0000 F

=====

Record 12
MoP2SF, relaxed, DFT GGA+U; SG = P4/mmm, No. 123; polymorph energy (0 for the lowest one) = 0 meV per atom
1.0
4.7079 0.0000 0.0000
0.0000 4.7079 0.0000
0.0000 0.0000 4.5713
P Mo S F
2 1 1 1
Direct
0.0000 0.5000 0.0000 P
0.5000 0.0000 0.0000 P
0.0000 0.0000 0.0000 Mo
0.0000 0.0000 0.5000 S
0.5000 0.5000 0.5000 F

=====

Record 13
MoP2SF, relaxed, DFT GGA+U; SG = P4/mmm, No. 123; polymorph energy (0 for the lowest one) = 229 meV per atom
1.0
4.0172 0.0000 0.0000
0.0000 4.0172 0.0000
0.0000 0.0000 5.4100
P Mo S F
2 1 1 1
Direct
0.0000 0.5000 0.0000 P
0.5000 0.0000 0.0000 P
0.5000 0.5000 0.5000 Mo
0.0000 0.0000 0.5000 S
0.0000 0.0000 0.0000 F

=====

Record 14
MoPSeF2, relaxed, DFT GGA+U; SG = P4/mmm, No. 123; E = -4.19 eV/atom
1.0
-0.8654 4.0392 -0.2451
-3.0593 -0.9081 -4.1640
-3.2484 -0.5440 2.5052
P Mo Se F
1 1 1 2
Direct
0.0000 0.5000 0.0000 P
0.5000 0.5000 0.5000 Mo
0.0000 0.0000 0.0000 Se
0.0000 0.0000 0.5000 F
0.5000 0.0000 0.0000 F

=====

Record 15
PaMoF, relaxed, DFT GGA+U; SG = Cm, No. 8; E = -6.72 eV/atom
1.0
4.5129 0.4116 -2.2268
2.7232 3.3511 -2.6210
-5.5996 -3.7305 12.8612
Mo Pa F
2 2 2
Direct
0.9430 0.4957 0.1338 Mo
0.4208 0.1721 0.3324 Mo
0.7488 0.6162 0.4486 Pa
0.6020 0.0361 0.0142 Pa
0.4922 0.5100 0.5992 F
0.9309 0.1224 0.7715 F

=====

Record 16
MoPb3F, relaxed, DFT GGA+U; SG = Pm-3m, No. 221; polymorph energy (0 for the lowest one) = 0 meV per atom
1.0
-2.9837 2.7394 3.1124
-4.0603 -2.7070 -1.5098
0.8397 -3.3559 3.7586
Pb Mo F
3 1 1
Direct
0.0000 0.5000 0.0000 Pb
0.0000 0.0000 0.5000 Pb
0.5000 0.0000 0.0000 Pb
0.5000 0.5000 0.5000 Mo
0.0000 0.0000 0.0000 F

=====

Record 17
MoPbF2, relaxed, DFT GGA+U; SG = R-3m, No. 166; polymorph energy (0 for the lowest one) = 0 meV per atom
1.0
-8.4426 1.0478 -0.8344
-7.6607 3.5819 1.2468
-7.2851 3.9577 -2.0822
Pb Mo F
1 1 2
Direct
0.5000 0.5000 0.5000 Pb
0.0000 0.0000 0.0000 Mo
0.9157 0.9157 0.9157 F
0.0843 0.0843 0.0843 F

=====

Record 18
MoPb2F7, relaxed, DFT GGA+U; SG = C2/c, No. 15; E = -5.15 eV/atom
1.0
-3.7988 -2.6821 -5.2336
3.7349 -4.1450 -5.2695
-2.2599 -7.5535 0.8286
Mo Pb F
2 4 14
Direct
0.8616 0.2500 0.7500 Mo
0.1384 0.7500 0.2500 Mo
0.6154 0.8975 0.7112 Pb
0.7759 0.3975 0.2112 Pb
0.2241 0.6025 0.7888 Pb
0.3846 0.1025 0.2888 Pb
0.6540 0.5521 0.7713 F
0.0226 0.0521 0.2713 F
0.2593 0.8305 0.9544 F
0.2934 0.1266 0.6066 F
0.5630 0.2500 0.7500 F
0.9558 0.3305 0.4544 F
0.0267 0.3734 0.8934 F
0.9733 0.6266 0.1066 F
0.0442 0.6695 0.5456 F
0.4370 0.7500 0.2500 F
0.7066 0.8734 0.3934 F
0.7407 0.1695 0.0456 F
0.9774 0.9479 0.7287 F
0.3460 0.4479 0.2287 F

=====

Record 19
Mo2PbF11, relaxed, DFT GGA+U; SG = Ibam, No. 72; E = -5.10 eV/atom
1.0
6.8746 0.0000 3.5833
3.0263 7.6226 2.5802
-0.1091 0.1654 8.5954
Mo Pb F
4 2 22
Direct
0.6335 0.6778 0.3222 Mo
0.3665 0.3222 0.6778 Mo
0.8665 0.1778 0.8222 Mo
0.1335 0.8222 0.1778 Mo
0.7500 0.7500 0.7500 Pb
0.2500 0.2500 0.2500 Pb
0.6409 0.6942 0.5429 F
0.3591 0.3058 0.4571 F
0.1220 0.5429 0.6942 F
0.8591 0.9571 0.8058 F
0.8780 0.4571 0.3058 F
0.1409 0.0429 0.1942 F
0.3780 0.8058 0.9571 F
0.6220 0.1942 0.0429 F
0.5000 0.5000 0.5000 F
0.0000 0.0000 0.0000 F
0.8659 0.7853 0.2147 F
0.1341 0.2147 0.7853 F
0.6341 0.2853 0.7147 F
0.3659 0.7147 0.2853 F
0.4677 0.9306 0.3348 F
0.5323 0.0694 0.6652 F
0.2669 0.3348 0.9306 F
0.0323 0.1652 0.5694 F
0.7331 0.6652 0.0694 F
0.9677 0.8348 0.4306 F
0.2331 0.5694 0.1652 F
0.7669 0.4306 0.8348 F

=====

Record 20
Mo3PbF, relaxed, DFT GGA+U; SG = Pm-3m, No. 221; polymorph energy (0 for the lowest one) = 0 meV per atom
1.0
4.4290 0.0000 0.0000
0.0000 4.4290 0.0000
0.0000 0.0000 4.4290
Pb Mo F
1 3 1
Direct
0.5000 0.5000 0.5000 Pb
0.0000 0.5000 0.0000 Mo
0.0000 0.0000 0.5000 Mo
0.5000 0.0000 0.0000 Mo
0.0000 0.0000 0.0000 F

=====

Per-record DOS(E_F), states/eV/f.u.: 0.00; 4.39; 6.32; 2.99; 4.85; 2.27; 1.80; 2.44; 5.33; 2.80; 0.00; 2.81; 2.43; 1.61; 2.14; 2.82; 0.66; 0.00; 3.10; 1.90